1.
First-principles (GGA-PBE) data for crystalline YCoSi2 at its relaxed geometry, as listed in Alexandria.

Cell lengths 4.529, 4.529, 4.529 Å; angles 60.00, 60.00, 60.00 degrees
Fractional positions:
1 Y 0.500 0.500 0.500
2 Si 0.250 0.250 0.250
3 Si 0.750 0.750 0.750
4 Co 0.000 0.000 0.000

## Properties
- magnetic moment (μB/f.u.) = 0.77
- energy (eV per atom) = -6.142

=====

2.
First-principles (GGA-PBE) data for crystalline YCoSi2 at its relaxed geometry, as listed in Alexandria.

Cell lengths 3.949, 3.995, 4.648 Å; angles 83.07, 90.00, 90.00 degrees
Fractional positions:
1 Co 0.500 0.750 0.750
2 Si 0.000 0.812 0.992
3 Si 0.000 0.688 0.508
4 Y 0.500 0.250 0.250

## Properties
- magnetic moment (μB/f.u.) = 0.00
- energy (eV per atom) = -6.569

=====

3.
First-principles (GGA-PBE) data for crystalline YCoSi2 at its relaxed geometry, as listed in Alexandria.

Cell lengths 3.885, 3.885, 5.482 Å; angles 69.14, 69.14, 60.10 degrees
Fractional positions:
1 Y 0.750 0.750 0.750
2 Si 0.958 0.958 0.127
3 Si 0.542 0.542 0.373
4 Co 0.250 0.250 0.250

## Properties
- magnetic moment (μB/f.u.) = 0.00
- energy (eV per atom) = -6.876

=====

4.
First-principles (GGA-PBE) data for crystalline Y2CoSi at its relaxed geometry, as listed in Alexandria.

Cell lengths 9.967, 9.967, 5.440 Å; angles 90.00, 90.00, 160.84 degrees
Fractional positions:
1 Y 0.443 0.557 0.750
2 Y 0.557 0.443 0.250
3 Y 0.669 0.331 0.750
4 Y 0.331 0.669 0.250
5 Co 0.053 0.947 0.750
6 Co 0.947 0.053 0.250
7 Si 0.294 0.706 0.750
8 Si 0.706 0.294 0.250

## Properties
- magnetic moment (μB/f.u.) = 0.32
- energy (eV per atom) = -6.369

=====

5.
First-principles (GGA-PBE) data for crystalline Y2Co5Si4 at its relaxed geometry, as listed in Alexandria.

Cell lengths 5.320, 5.291, 7.092 Å; angles 79.13, 67.97, 59.81 degrees
Fractional positions:
1 Y 0.867 0.000 0.265
2 Y 0.133 0.000 0.735
3 Co 0.500 0.000 0.000
4 Co 0.000 0.500 0.000
5 Co 0.500 0.500 0.000
6 Co 0.250 0.500 0.500
7 Co 0.750 0.500 0.500
8 Si 0.478 0.307 0.737
9 Si 0.522 0.693 0.263
10 Si 0.215 0.307 0.263
11 Si 0.785 0.693 0.737

## Properties
- magnetic moment (μB/f.u.) = 0.00
- energy (eV per atom) = -7.064

=====

6.
First-principles (GGA-PBE) data for crystalline Y2Co12Si7 at its relaxed geometry, as listed in Alexandria.

Cell lengths 3.654, 9.126, 9.126 Å; angles 120.00, 90.00, 90.00 degrees
Fractional positions:
1 Y 0.500 0.000 0.000
2 Y 0.000 0.667 0.333
3 Co 0.500 0.902 0.615
4 Co 0.500 0.713 0.098
5 Co 0.500 0.385 0.287
6 Co 0.500 0.230 0.785
7 Co 0.500 0.555 0.770
8 Co 0.500 0.215 0.445
9 Co 0.000 0.056 0.539
10 Co 0.000 0.483 0.944
11 Co 0.000 0.461 0.517
12 Co 0.000 0.771 0.723
13 Co 0.000 0.952 0.229
14 Co 0.000 0.277 0.048
15 Si 0.000 0.333 0.667
16 Si 0.000 0.049 0.778
17 Si 0.000 0.729 0.951
18 Si 0.000 0.222 0.271
19 Si 0.500 0.627 0.561
20 Si 0.500 0.934 0.373
21 Si 0.500 0.439 0.066

## Properties
- magnetic moment (μB/f.u.) = 0.83
- energy (eV per atom) = -7.079

=====

7.
First-principles (GGA-PBE) data for crystalline Y2CoSi2 at its relaxed geometry, as listed in Alexandria.

Cell lengths 4.132, 5.635, 8.974 Å; angles 83.05, 76.70, 68.48 degrees
Fractional positions:
1 Y 0.314 0.267 0.106
2 Y 0.499 0.330 0.672
3 Y 0.686 0.733 0.894
4 Y 0.501 0.670 0.328
5 Si 0.995 0.136 0.873
6 Si 0.153 0.261 0.433
7 Si 0.005 0.864 0.127
8 Si 0.847 0.739 0.567
9 Co 0.773 0.075 0.379
10 Co 0.227 0.925 0.621

## Properties
- magnetic moment (μB/f.u.) = 0.40
- energy (eV per atom) = -6.953

=====

8.
First-principles (GGA-PBE) data for crystalline Y2CoSi at its relaxed geometry, as listed in Alexandria.

Cell lengths 5.697, 5.697, 5.697 Å; angles 138.16, 138.16, 60.66 degrees
Fractional positions:
1 Co 0.500 0.500 0.000
2 Si 0.750 0.250 0.500
3 Y 0.000 0.000 0.000
4 Y 0.250 0.750 0.500

## Properties
- magnetic moment (μB/f.u.) = 0.42
- energy (eV per atom) = -6.533

=====

9.
First-principles (GGA-PBE) data for crystalline YCoSi2 at its relaxed geometry, as listed in Alexandria.

Cell lengths 6.111, 6.111, 6.111 Å; angles 148.69, 144.45, 48.09 degrees
Fractional positions:
1 Co 0.225 0.725 0.500
2 Si 0.085 0.085 0.000
3 Si 0.729 0.229 0.500
4 Y 0.461 0.461 0.000

## Properties
- magnetic moment (μB/f.u.) = 0.00
- energy (eV per atom) = -6.431

=====

10.
First-principles (GGA-PBE) data for crystalline YCo4Si2 at its relaxed geometry, as listed in Alexandria.

Cell lengths 3.605, 7.150, 7.150 Å; angles 90.00, 90.00, 90.00 degrees
Fractional positions:
1 Y 0.500 0.000 0.000
2 Y 0.000 0.500 0.500
3 Co 0.000 0.080 0.347
4 Co 0.000 0.920 0.653
5 Co 0.500 0.153 0.580
6 Co 0.500 0.847 0.420
7 Co 0.500 0.420 0.847
8 Co 0.500 0.580 0.153
9 Co 0.000 0.347 0.080
10 Co 0.000 0.653 0.920
11 Si 0.000 0.225 0.775
12 Si 0.000 0.775 0.225
13 Si 0.500 0.725 0.725
14 Si 0.500 0.275 0.275

## Properties
- magnetic moment (μB/f.u.) = 0.01
- energy (eV per atom) = -7.088

=====

11.
First-principles (GGA-PBE) data for crystalline YCo5Si2 at its relaxed geometry, as listed in Alexandria.

Cell lengths 3.594, 5.847, 5.847 Å; angles 67.43, 72.10, 72.10 degrees
Fractional positions:
1 Y 0.000 0.000 0.000
2 Co 0.000 0.500 0.500
3 Co 0.642 0.545 0.170
4 Co 0.358 0.455 0.830
5 Co 0.358 0.830 0.455
6 Co 0.642 0.170 0.545
7 Si 0.755 0.745 0.745
8 Si 0.245 0.255 0.255

## Properties
- magnetic moment (μB/f.u.) = 2.75
- energy (eV per atom) = -7.028

=====

12.
First-principles (GGA-PBE) data for crystalline Y2CoSi at its relaxed geometry, as listed in Alexandria.

Cell lengths 7.740, 7.740, 7.740 Å; angles 27.88, 27.88, 27.88 degrees
Fractional positions:
1 Co 0.250 0.250 0.250
2 Si 0.750 0.750 0.750
3 Y 0.992 0.992 0.992
4 Y 0.508 0.508 0.508

## Properties
- magnetic moment (μB/f.u.) = 0.00
- energy (eV per atom) = -6.451